Entry 1:
{"formula": "Mg3UPt12", "functional": "PBE", "state": "relaxed", "lattice_angstrom": [[-0.164, 3.808, 1.294], [-4.020, -0.121, -0.153], [-0.418, -5.147, 15.089]], "species": ["Mg", "Mg", "Mg", "U", "Pt", "Pt", "Pt", "Pt", "Pt", "Pt", "Pt", "Pt", "Pt", "Pt", "Pt", "Pt"], "frac_coords": [[0.000, 0.000, 0.258], [0.000, 0.000, 0.500], [0.000, 0.000, 0.742], [0.000, 0.000, 0.000], [0.500, 0.500, 0.000], [0.500, 0.500, 0.255], [0.500, 0.500, 0.500], [0.500, 0.500, 0.745], [0.500, 0.000, 0.130], [0.500, 0.000, 0.378], [0.500, 0.000, 0.622], [0.500, 0.000, 0.870], [0.000, 0.500, 0.130], [0.000, 0.500, 0.378], [0.000, 0.500, 0.622], [0.000, 0.500, 0.870]], "dos_ef_per_ev_cell": 18.04, "sg": "P4/mmm", "formation_energy_mev_per_atom": -652, "magmom_total_mub_per_fu": 0.6}



Entry 2:
{"formula": "Li2PaTl2S4", "functional": "PBE", "state": "relaxed", "lattice_angstrom": [[-3.578, -1.160, 1.654], [0.855, -6.836, -2.943], [4.846, 0.839, 5.970]], "species": ["Li", "Li", "Pa", "Tl", "Tl", "S", "S", "S", "S"], "frac_coords": [[0.683, 0.987, 0.366], [0.317, 0.013, 0.634], [0.000, 0.000, 0.000], [0.140, 0.564, 0.280], [0.860, 0.436, 0.720], [0.194, 0.166, 0.388], [0.806, 0.834, 0.612], [0.518, 0.772, 0.035], [0.482, 0.228, 0.965]], "dos_ef_per_ev_cell": 5.20, "sg": "C2/m", "formation_energy_uncorrected_ev_per_atom": -1.11, "magmom_total_mub_per_fu": 1.0}



Entry 3:
{"formula": "SiRhAuS", "functional": "PBE", "state": "relaxed", "lattice_angstrom": [[3.717, 0.000, 0.000], [0.000, 2.854, 0.000], [0.000, 0.000, 13.019]], "species": ["Rh", "Rh", "S", "S", "Au", "Au", "Si", "Si"], "frac_coords": [[0.000, 0.000, 0.098], [0.500, 0.500, 0.598], [0.000, 0.000, 0.277], [0.500, 0.500, 0.777], [0.000, 0.500, 0.904], [0.500, 0.000, 0.404], [0.000, 0.000, 0.544], [0.500, 0.500, 0.044]], "dos_ef_per_ev_cell": 2.95, "relative_energy_ev_per_fu": 0.04, "sg": "Imm2", "formation_energy_uncorrected_ev_per_atom": -0.19, "magmom_total_mub_per_fu": 0.0}



Entry 4:
{"formula": "ReMoN3", "functional": "PBE", "state": "relaxed", "lattice_angstrom": [[3.846, 0.000, 0.000], [0.000, 3.846, 0.000], [0.000, 0.000, 3.846]], "species": ["Re", "Mo", "N", "N", "N"], "frac_coords": [[0.000, 0.000, 0.000], [0.500, 0.500, 0.500], [0.000, 0.500, 0.000], [0.000, 0.000, 0.500], [0.500, 0.000, 0.000]], "dos_ef_per_ev_cell": 5.05, "sg": "Pm-3m", "formation_energy_uncorrected_ev_per_atom": 1.03, "magmom_total_mub_per_fu": 0.0}



Entry 5:
{"formula": "Pm5YP6", "functional": "PBE", "state": "relaxed", "lattice_angstrom": [[-3.679, -5.854, -1.720], [4.452, -4.941, -2.553], [3.057, -4.669, 4.427]], "species": ["Y", "P", "P", "P", "P", "P", "P", "Pm", "Pm", "Pm", "Pm", "Pm"], "frac_coords": [[0.000, 0.000, 0.000], [0.752, 0.082, 0.330], [0.248, 0.588, 0.330], [0.248, 0.247, 0.000], [0.752, 0.753, 0.000], [0.752, 0.412, 0.670], [0.248, 0.918, 0.670], [0.500, 0.167, 0.665], [0.000, 0.334, 0.333], [0.500, 0.500, 0.000], [0.000, 0.666, 0.667], [0.500, 0.833, 0.335]], "dos_ef_per_ev_cell": 0.95, "sg": "C2/m", "formation_energy_mev_per_atom": -1572, "magmom_total_mub_per_fu": 0.0}



Entry 6:
{"formula": "Tl2InPt", "functional": "PBE", "state": "relaxed", "lattice_angstrom": [[-0.097, 4.901, -1.303], [-2.246, 0.729, 4.489], [4.507, -2.327, -0.003]], "species": ["In", "Pt", "Tl", "Tl"], "frac_coords": [[0.500, 0.500, 0.000], [0.750, 0.250, 0.500], [0.000, 0.000, 0.000], [0.250, 0.750, 0.500]], "dos_ef_per_ev_cell": 1.42, "relative_energy_ev_per_fu": 0.82, "sg": "I-4m2", "formation_energy_mev_per_atom": 94, "magmom_total_mub_per_fu": 0.0}



Entry 7:
{"formula": "ZrAg", "functional": "PBE", "state": "relaxed", "lattice_angstrom": [[1.635, 5.287, 0.374], [-1.635, 5.287, 0.374], [0.000, 2.238, 7.233]], "species": ["Zr", "Zr", "Zr", "Ag", "Ag", "Ag"], "frac_coords": [[0.301, 0.301, 0.398], [0.980, 0.980, 0.546], [0.310, 0.310, 0.884], [0.972, 0.972, 0.059], [0.637, 0.637, 0.209], [0.634, 0.634, 0.738]], "dos_ef_per_ev_cell": 4.75, "sg": "Cm", "formation_energy_mev_per_atom": 8, "magmom_total_mub_per_fu": 0.0}



Entry 8:
{"formula": "LiSmYAl", "functional": "PBE", "state": "relaxed", "lattice_angstrom": [[-0.778, 2.486, 4.513], [-4.339, 2.795, 0.721], [-3.663, -1.681, 3.303]], "species": ["Y", "Al", "Sm", "Li"], "frac_coords": [[0.750, 0.750, 0.750], [0.500, 0.500, 0.500], [0.250, 0.250, 0.250], [0.000, 0.000, 0.000]], "dos_ef_per_ev_cell": 4.27, "sg": "F-43m", "formation_energy_mev_per_atom": -220, "magmom_total_mub_per_fu": 0.0}



Entry 9:
{"formula": "LaMg4", "functional": "PBE", "state": "relaxed", "lattice_angstrom": [[5.664, 0.015, 0.000], [-3.275, 4.621, 0.000], [-1.195, -2.318, 5.028]], "species": ["La", "Mg", "Mg", "Mg", "Mg"], "frac_coords": [[0.000, 0.000, 0.000], [0.802, 0.458, 0.260], [0.458, 0.198, 0.656], [0.198, 0.542, 0.740], [0.542, 0.802, 0.344]], "dos_ef_per_ev_cell": 2.70, "sg": "I4/m", "formation_energy_mev_per_atom": -60, "magmom_total_mub_per_fu": 0.0}



Entry 10:
{"formula": "RbMoPd3", "functional": "PBE", "state": "relaxed", "lattice_angstrom": [[4.974, 0.000, 0.000], [0.000, 4.974, 0.000], [0.000, 0.000, 4.974]], "species": ["Mo", "Rb", "Pd", "Pd", "Pd"], "frac_coords": [[0.000, 0.000, 0.000], [0.500, 0.500, 0.500], [0.000, 0.500, 0.000], [0.000, 0.000, 0.500], [0.500, 0.000, 0.000]], "dos_ef_per_ev_cell": 5.61, "relative_energy_ev_per_fu": 0.00, "sg": "Pm-3m", "formation_energy_mev_per_atom": 761, "magmom_total_mub_per_fu": 0.0}



Entry 11:
{"formula": "La12Pm6Pr", "functional": "PBE", "state": "relaxed", "lattice_angstrom": [[8.656, 0.000, 2.775], [-4.309, 8.079, 3.517], [0.037, 0.000, 9.809]], "species": ["La", "La", "La", "La", "La", "La", "La", "La", "La", "La", "La", "La", "Pm", "Pm", "Pm", "Pm", "Pm", "Pm", "Pr"], "frac_coords": [[0.525, 0.843, 0.264], [0.683, 0.894, 0.843], [0.789, 0.264, 0.894], [0.475, 0.157, 0.736], [0.317, 0.106, 0.157], [0.211, 0.736, 0.106], [0.265, 0.423, 0.631], [0.104, 0.369, 0.054], [0.158, 0.054, 0.577], [0.735, 0.577, 0.369], [0.896, 0.631, 0.946], [0.842, 0.946, 0.423], [0.421, 0.472, 0.211], [0.051, 0.683, 0.528], [0.368, 0.789, 0.683], [0.579, 0.528, 0.789], [0.949, 0.317, 0.472], [0.632, 0.211, 0.317], [0.000, 0.000, 0.000]], "dos_ef_per_ev_cell": 36.29, "sg": "R-3", "formation_energy_mev_per_atom": 16, "magmom_total_mub_per_fu": 0.0}



Entry 12:
{"formula": "MgAsPt", "functional": "PBE", "state": "relaxed", "lattice_angstrom": [[3.343, 0.000, 0.000], [-1.671, 2.895, 0.000], [0.000, 0.000, 5.910]], "species": ["As", "Mg", "Pt"], "frac_coords": [[0.000, 0.000, 0.960], [0.333, 0.667, 0.350], [0.667, 0.333, 0.690]], "dos_ef_per_ev_cell": 1.64, "sg": "P3m1", "formation_energy_mev_per_atom": -298, "magmom_total_mub_per_fu": 0.0}



Entry 13:
{"formula": "Ho3NiPd", "functional": "PBE", "state": "relaxed", "lattice_angstrom": [[5.570, -0.099, 2.016], [1.958, 5.215, 2.016], [-0.027, -0.018, 7.941]], "species": ["Ho", "Ho", "Ho", "Ho", "Ho", "Ho", "Ni", "Ni", "Pd", "Pd"], "frac_coords": [[0.316, 0.316, 0.851], [0.684, 0.684, 0.149], [0.008, 0.008, 0.770], [0.992, 0.992, 0.230], [0.699, 0.699, 0.660], [0.301, 0.301, 0.340], [0.310, 0.690, 0.000], [0.690, 0.310, 0.000], [0.717, 0.283, 0.500], [0.283, 0.717, 0.500]], "dos_ef_per_ev_cell": 8.45, "relative_energy_ev_per_fu": 0.12, "sg": "C2/m", "formation_energy_mev_per_atom": -508, "magmom_total_mub_per_fu": 0.0}



Entry 14:
{"formula": "Pm2Sm2Zn3", "functional": "PBE", "state": "relaxed", "lattice_angstrom": [[4.933, 0.003, -1.388], [-2.656, 4.371, -0.002], [-0.227, -0.137, 8.778]], "species": ["Pm", "Pm", "Sm", "Sm", "Zn", "Zn", "Zn"], "frac_coords": [[0.256, 0.128, 0.382], [0.744, 0.872, 0.618], [0.758, 0.379, 0.136], [0.242, 0.621, 0.864], [0.000, 0.000, 0.000], [0.505, 0.253, 0.759], [0.495, 0.747, 0.241]], "dos_ef_per_ev_cell": 9.81, "sg": "C2/m", "formation_energy_mev_per_atom": -184, "magmom_total_mub_per_fu": 0.0}



Entry 15:
{"formula": "DyIn6Hg", "functional": "PBE", "state": "relaxed", "lattice_angstrom": [[4.636, 0.000, 0.000], [0.000, 6.690, -0.024], [0.000, 0.062, 6.689]], "species": ["Dy", "In", "In", "In", "In", "In", "In", "Hg"], "frac_coords": [[0.500, 0.000, 0.000], [0.000, 0.748, 0.252], [0.000, 0.252, 0.748], [0.000, 0.749, 0.749], [0.000, 0.251, 0.251], [0.500, 0.500, 0.000], [0.500, 0.000, 0.500], [0.500, 0.500, 0.500]], "dos_ef_per_ev_cell": 5.31, "sg": "Cmmm", "formation_energy_mev_per_atom": -136, "magmom_total_mub_per_fu": 0.0}



Entry 16:
{"formula": "KTl2Rh", "functional": "PBE", "state": "relaxed", "lattice_angstrom": [[-0.712, 1.137, 6.525], [-5.793, -1.556, 2.897], [5.617, -1.679, -3.162]], "species": ["K", "Rh", "Tl", "Tl"], "frac_coords": [[0.750, 0.250, 0.500], [0.250, 0.750, 0.500], [0.055, 0.055, 0.000], [0.445, 0.445, 0.000]], "dos_ef_per_ev_cell": 2.24, "sg": "Immm", "formation_energy_mev_per_atom": 108, "magmom_total_mub_per_fu": 0.0}



Entry 17:
{"formula": "Fe2AgAs", "functional": "PBE", "state": "relaxed", "lattice_angstrom": [[4.543, 0.194, -0.014], [-1.279, 4.364, -0.014], [0.008, 0.012, 2.925]], "species": ["Ag", "As", "Fe", "Fe"], "frac_coords": [[0.500, 0.000, 0.500], [0.000, 0.500, 0.500], [0.000, 0.000, 0.000], [0.500, 0.500, 0.000]], "dos_ef_per_ev_cell": 3.78, "sg": "Cmmm", "formation_energy_mev_per_atom": 329, "magmom_total_mub_per_fu": 5.6}



Entry 18:
{"formula": "YW2Au", "functional": "PBE", "state": "relaxed", "lattice_angstrom": [[-1.430, -5.712, -0.451], [2.266, -4.119, 3.573], [-3.125, 4.964, -0.682]], "species": ["Au", "W", "W", "Y"], "frac_coords": [[0.250, 0.750, 0.500], [0.013, 0.013, 0.000], [0.487, 0.487, 0.000], [0.750, 0.250, 0.500]], "dos_ef_per_ev_cell": 2.95, "relative_energy_ev_per_fu": 1.02, "sg": "Immm", "formation_energy_mev_per_atom": 394, "magmom_total_mub_per_fu": 0.0}



Entry 19:
{"formula": "Pm2Cu3PdAu12", "functional": "PBE", "state": "relaxed", "lattice_angstrom": [[-3.223, -6.917, 2.798], [-0.074, -6.329, -5.099], [5.172, -6.059, 1.612]], "species": ["Pm", "Pm", "Cu", "Cu", "Cu", "Pd", "Au", "Au", "Au", "Au", "Au", "Au", "Au", "Au", "Au", "Au", "Au", "Au"], "frac_coords": [[0.612, 0.612, 0.612], [0.388, 0.388, 0.388], [0.500, 0.000, 0.000], [0.000, 0.500, 0.000], [0.000, 0.000, 0.500], [0.000, 0.000, 0.000], [0.365, 0.365, 0.882], [0.862, 0.862, 0.387], [0.387, 0.862, 0.862], [0.882, 0.365, 0.365], [0.862, 0.387, 0.862], [0.365, 0.882, 0.365], [0.635, 0.635, 0.118], [0.138, 0.138, 0.613], [0.613, 0.138, 0.138], [0.118, 0.635, 0.635], [0.138, 0.613, 0.138], [0.635, 0.118, 0.635]], "dos_ef_per_ev_cell": 9.18, "sg": "R-3m", "formation_energy_mev_per_atom": 12, "magmom_total_mub_per_fu": 0.0}



Entry 20:
{"formula": "NiAg3Sb", "functional": "PBE", "state": "relaxed", "lattice_angstrom": [[4.791, 0.000, 0.000], [0.000, 4.791, 0.000], [0.000, 0.000, 4.791]], "species": ["Sb", "Ag", "Ag", "Ag", "Ni"], "frac_coords": [[0.500, 0.500, 0.500], [0.000, 0.500, 0.000], [0.000, 0.000, 0.500], [0.500, 0.000, 0.000], [0.000, 0.000, 0.000]], "dos_ef_per_ev_cell": 6.30, "relative_energy_ev_per_fu": 0.00, "sg": "Pm-3m", "formation_energy_uncorrected_ev_per_atom": 0.67, "magmom_total_mub_per_fu": 0.5}



Entry 21:
{"formula": "In2Sn3Pb3", "functional": "PBE", "state": "relaxed", "lattice_angstrom": [[6.277, -0.434, 0.428], [-0.427, 6.277, 0.428], [0.435, 0.434, 6.276]], "species": ["In", "In", "Sn", "Sn", "Sn", "Pb", "Pb", "Pb"], "frac_coords": [[0.302, 0.302, 0.698], [0.698, 0.698, 0.302], [0.206, 0.794, 0.500], [0.500, 0.206, 0.206], [0.794, 0.500, 0.794], [0.219, 0.781, 0.000], [0.000, 0.219, 0.219], [0.781, 0.000, 0.781]], "dos_ef_per_ev_cell": 4.43, "sg": "R32", "formation_energy_mev_per_atom": 90, "magmom_total_mub_per_fu": 0.0}



Entry 22:
{"formula": "Li4TlSb5", "functional": "PBE", "state": "relaxed", "lattice_angstrom": [[-3.052, 0.974, 0.097], [-0.219, -0.369, -3.176], [-6.704, -21.450, 3.003]], "species": ["Li", "Li", "Li", "Li", "Tl", "Sb", "Sb", "Sb", "Sb", "Sb"], "frac_coords": [[0.006, 0.007, 0.219], [0.004, 0.006, 0.406], [0.996, 0.994, 0.594], [0.994, 0.993, 0.781], [0.000, 0.000, 0.000], [0.504, 0.505, 0.128], [0.506, 0.508, 0.312], [0.500, 0.500, 0.500], [0.494, 0.492, 0.688], [0.496, 0.495, 0.872]], "dos_ef_per_ev_cell": 3.58, "sg": "P-1", "formation_energy_uncorrected_ev_per_atom": -0.32, "magmom_total_mub_per_fu": 0.0}



Entry 23:
{"formula": "NaLiGa2Ge2", "functional": "PBE", "state": "relaxed", "lattice_angstrom": [[4.235, 0.000, 0.000], [-2.117, 3.668, 0.000], [0.000, 0.000, 8.039]], "species": ["Na", "Li", "Ga", "Ga", "Ge", "Ge"], "frac_coords": [[0.000, 0.000, 0.000], [0.000, 0.000, 0.500], [0.333, 0.667, 0.657], [0.667, 0.333, 0.343], [0.333, 0.667, 0.260], [0.667, 0.333, 0.740]], "dos_ef_per_ev_cell": 1.80, "sg": "P-3m1", "formation_energy_mev_per_atom": -158, "magmom_total_mub_per_fu": 0.0}



Entry 24:
{"formula": "LiPm2Dy", "functional": "PBE", "state": "relaxed", "lattice_angstrom": [[5.565, 0.000, 0.000], [2.783, 4.819, 0.000], [2.783, 1.606, 4.544]], "species": ["Pm", "Pm", "Li", "Dy"], "frac_coords": [[0.250, 0.250, 0.250], [0.750, 0.750, 0.750], [0.500, 0.500, 0.500], [0.000, 0.000, 0.000]], "dos_ef_per_ev_cell": 4.40, "relative_energy_ev_per_fu": 0.40, "sg": "Fm-3m", "formation_energy_mev_per_atom": 165, "magmom_total_mub_per_fu": 0.0}



Entry 25:
{"formula": "AcSm2MgHg4", "functional": "PBE", "state": "relaxed", "lattice_angstrom": [[5.210, 0.000, 0.000], [2.605, 4.512, 0.000], [2.605, 1.504, 9.509]], "species": ["Ac", "Sm", "Sm", "Mg", "Hg", "Hg", "Hg", "Hg"], "frac_coords": [[0.000, 0.000, 0.000], [0.762, 0.762, 0.713], [0.238, 0.238, 0.287], [0.500, 0.500, 0.500], [0.387, 0.387, 0.838], [0.873, 0.873, 0.382], [0.127, 0.127, 0.618], [0.613, 0.613, 0.162]], "dos_ef_per_ev_cell": 6.41, "sg": "R-3m", "formation_energy_mev_per_atom": -431, "magmom_total_mub_per_fu": 0.0}